<1>
# SiNi2B, relaxed, DFT PBE
# spin magnetization	0.00	μB/cell
# V	154.63	Å³ per cell
# ρ	6.71	g cm⁻³
data_SiNi2B
_symmetry_space_group_name_H-M 'F m -3 m'
_symmetry_Int_Tables_number 225
_symmetry_space_group_name_Hall '-F 4 2 3'
_cell_length_a 5.367
_cell_length_b 5.367
_cell_length_c 5.367
_cell_angle_alpha 90.00
_cell_angle_beta 90.00
_cell_angle_gamma 90.00
loop_
_atom_site_label
_atom_site_type_symbol
_atom_site_fract_x
_atom_site_fract_y
_atom_site_fract_z
Si1 Si 0.000 0.000 0.000
Ni1 Ni 0.250 0.250 0.250
B1 B 0.000 0.000 0.500

---

<2>
# SiNi2B, relaxed, DFT PBE
# spin magnetization	0.00	μB/cell
# V	38.58	Å³ per cell
# ρ	6.73	g cm⁻³
data_SiNi2B
_symmetry_space_group_name_H-M 'P 4/m m m'
_symmetry_Int_Tables_number 123
_symmetry_space_group_name_Hall '-P 4 2'
_cell_length_a 3.501
_cell_length_b 3.501
_cell_length_c 3.147
_cell_angle_alpha 90.00
_cell_angle_beta 90.00
_cell_angle_gamma 90.00
loop_
_atom_site_label
_atom_site_type_symbol
_atom_site_fract_x
_atom_site_fract_y
_atom_site_fract_z
Si1 Si 0.000 0.000 0.000
Ni1 Ni 0.000 0.500 0.500
B1 B 0.500 0.500 0.000

---

<1> is preferred energetically. Next in line: 9 meV per atom higher.

---

<1>
# Si3NiB, relaxed, DFT PBE
# spin magnetization	0.00	μB/cell
# V	80.10	Å³ per cell
# ρ	3.19	g cm⁻³
data_Si3NiB
_symmetry_space_group_name_H-M 'P m -3 m'
_symmetry_Int_Tables_number 221
_symmetry_space_group_name_Hall '-P 4 2 3'
_cell_length_a 4.311
_cell_length_b 4.311
_cell_length_c 4.311
_cell_angle_alpha 90.00
_cell_angle_beta 90.00
_cell_angle_gamma 90.00
loop_
_atom_site_label
_atom_site_type_symbol
_atom_site_fract_x
_atom_site_fract_y
_atom_site_fract_z
Si1 Si 0.000 0.000 0.500
Ni1 Ni 0.000 0.000 0.000
B1 B 0.500 0.500 0.500

---

<2>
# Si3NiB, relaxed, DFT PBE
# spin magnetization	0.00	μB/cell
# V	65.33	Å³ per cell
# ρ	3.91	g cm⁻³
data_Si3NiB
_symmetry_space_group_name_H-M 'P m -3 m'
_symmetry_Int_Tables_number 221
_symmetry_space_group_name_Hall '-P 4 2 3'
_cell_length_a 4.027
_cell_length_b 4.027
_cell_length_c 4.027
_cell_angle_alpha 90.00
_cell_angle_beta 90.00
_cell_angle_gamma 90.00
loop_
_atom_site_label
_atom_site_type_symbol
_atom_site_fract_x
_atom_site_fract_y
_atom_site_fract_z
Si1 Si 0.000 0.000 0.500
Ni1 Ni 0.500 0.500 0.500
B1 B 0.000 0.000 0.000

---

<2> is preferred energetically. Next in line: 408 meV per atom higher.

---

<1>
# Si2Ni8B, relaxed, DFT PBE
# spin magnetization	0.00	μB/cell
# V	233.75	Å³ per cell
# ρ	7.62	g cm⁻³
data_Si2Ni8B
_symmetry_space_group_name_H-M 'I m m m'
_symmetry_Int_Tables_number 71
_symmetry_space_group_name_Hall '-I 2 2'
_cell_length_a 3.662
_cell_length_b 6.471
_cell_length_c 9.864
_cell_angle_alpha 90.00
_cell_angle_beta 90.00
_cell_angle_gamma 90.00
loop_
_atom_site_label
_atom_site_type_symbol
_atom_site_fract_x
_atom_site_fract_y
_atom_site_fract_z
Si1 Si 0.000 0.000 0.198
Ni1 Ni 0.000 0.184 0.000
Ni2 Ni 0.000 0.274 0.345
Ni3 Ni 0.000 0.500 0.127
B1 B 0.000 0.000 0.500

---

<2>
# Si2Ni8B, relaxed, DFT PBE
# spin magnetization	0.00	μB/cell
# V	232.48	Å³ per cell
# ρ	7.66	g cm⁻³
data_Si2Ni8B
_symmetry_space_group_name_H-M 'C 1 2/m 1'
_symmetry_Int_Tables_number 12
_cell_length_a 13.194
_cell_length_b 3.788
_cell_length_c 4.944
_cell_angle_alpha 90.00
_cell_angle_beta 109.79
_cell_angle_gamma 90.00
loop_
_symmetry_equiv_pos_as_xyz
'x,y,z'
'-x,-y,-z'
'-x,y,-z'
'x,-y,z'
'x+1/2,y+1/2,z'
'-x+1/2,-y+1/2,-z'
'-x+1/2,y+1/2,-z'
'x+1/2,-y+1/2,z'
loop_
_atom_site_label
_atom_site_type_symbol
_atom_site_fract_x
_atom_site_fract_y
_atom_site_fract_z
Si1 Si 0.176 0.000 0.207
Ni1 Ni 0.015 0.000 0.274
Ni2 Ni 0.099 0.500 0.915
Ni3 Ni 0.145 0.500 0.451
Ni4 Ni 0.207 0.000 0.783
B1 B 0.000 0.500 0.500

---

<2> is preferred energetically. Next in line: 85 meV per atom higher.

---

<1>
# Si2NiB2, relaxed, DFT PBE
# spin magnetization	0.00	μB/cell
# V	107.23	Å³ per cell
# ρ	4.23	g cm⁻³
data_Si2NiB2
_symmetry_space_group_name_H-M 'P 4/m b m'
_symmetry_Int_Tables_number 127
_symmetry_space_group_name_Hall '-P 4 2ab'
_cell_length_a 5.927
_cell_length_b 5.927
_cell_length_c 3.052
_cell_angle_alpha 90.00
_cell_angle_beta 90.00
_cell_angle_gamma 90.00
loop_
_atom_site_label
_atom_site_type_symbol
_atom_site_fract_x
_atom_site_fract_y
_atom_site_fract_z
Si1 Si 0.137 0.363 0.000
Ni1 Ni 0.000 0.000 0.000
B1 B 0.187 0.687 0.500

---

<2>
# Si2NiB2, relaxed, DFT PBE
# spin magnetization	0.00	μB/cell
# V	97.80	Å³ per cell
# ρ	4.63	g cm⁻³
data_Si2NiB2
_symmetry_space_group_name_H-M 'I 4/m m m'
_symmetry_Int_Tables_number 139
_symmetry_space_group_name_Hall '-I 4 2'
_cell_length_a 2.712
_cell_length_b 2.712
_cell_length_c 13.297
_cell_angle_alpha 90.00
_cell_angle_beta 90.00
_cell_angle_gamma 90.00
loop_
_atom_site_label
_atom_site_type_symbol
_atom_site_fract_x
_atom_site_fract_y
_atom_site_fract_z
Si1 Si 0.000 0.000 0.122
Ni1 Ni 0.000 0.000 0.500
B1 B 0.000 0.500 0.250

---

<2> is preferred energetically. Next in line: 436 meV per atom higher.

---

<1>
# NiSn3B, relaxed, DFT PBE
# spin magnetization	0.00	μB/cell
# V	118.37	Å³ per cell
# ρ	5.97	g cm⁻³
data_NiSn3B
_symmetry_space_group_name_H-M 'P m -3 m'
_symmetry_Int_Tables_number 221
_symmetry_space_group_name_Hall '-P 4 2 3'
_cell_length_a 4.910
_cell_length_b 4.910
_cell_length_c 4.910
_cell_angle_alpha 90.00
_cell_angle_beta 90.00
_cell_angle_gamma 90.00
loop_
_atom_site_label
_atom_site_type_symbol
_atom_site_fract_x
_atom_site_fract_y
_atom_site_fract_z
Ni1 Ni 0.000 0.000 0.000
Sn1 Sn 0.000 0.000 0.500
B1 B 0.500 0.500 0.500

---

<2>
# NiSn3B, relaxed, DFT PBE
# spin magnetization	0.00	μB/cell
# V	106.02	Å³ per cell
# ρ	6.67	g cm⁻³
data_NiSn3B
_symmetry_space_group_name_H-M 'P m -3 m'
_symmetry_Int_Tables_number 221
_symmetry_space_group_name_Hall '-P 4 2 3'
_cell_length_a 4.733
_cell_length_b 4.733
_cell_length_c 4.733
_cell_angle_alpha 90.00
_cell_angle_beta 90.00
_cell_angle_gamma 90.00
loop_
_atom_site_label
_atom_site_type_symbol
_atom_site_fract_x
_atom_site_fract_y
_atom_site_fract_z
Ni1 Ni 0.000 0.000 0.000
Sn1 Sn 0.000 0.500 0.500
B1 B 0.500 0.500 0.500

---

<2> is preferred energetically. Next in line: 77 meV per atom higher.

---

<1>
# NiSn2B2, relaxed, DFT PBE
# spin magnetization	0.00	μB/cell
# V	141.58	Å³ per cell
# ρ	7.45	g cm⁻³
data_NiSn2B2
_symmetry_space_group_name_H-M 'P 4/m b m'
_symmetry_Int_Tables_number 127
_symmetry_space_group_name_Hall '-P 4 2ab'
_cell_length_a 6.171
_cell_length_b 6.171
_cell_length_c 3.718
_cell_angle_alpha 90.00
_cell_angle_beta 90.00
_cell_angle_gamma 90.00
loop_
_atom_site_label
_atom_site_type_symbol
_atom_site_fract_x
_atom_site_fract_y
_atom_site_fract_z
Ni1 Ni 0.000 0.000 0.000
Sn1 Sn 0.211 0.289 0.500
B1 B 0.098 0.598 0.000

---

<2>
# NiSn2B2, relaxed, DFT PBE
# spin magnetization	0.00	μB/cell
# V	149.75	Å³ per cell
# ρ	7.05	g cm⁻³
data_NiSn2B2
_symmetry_space_group_name_H-M 'I 4/m m m'
_symmetry_Int_Tables_number 139
_symmetry_space_group_name_Hall '-I 4 2'
_cell_length_a 5.127
_cell_length_b 5.127
_cell_length_c 5.696
_cell_angle_alpha 90.00
_cell_angle_beta 90.00
_cell_angle_gamma 90.00
loop_
_atom_site_label
_atom_site_type_symbol
_atom_site_fract_x
_atom_site_fract_y
_atom_site_fract_z
Ni1 Ni 0.000 0.000 0.000
Sn1 Sn 0.000 0.500 0.250
B1 B 0.000 0.000 0.356

---

<2> is preferred energetically. Next in line: 204 meV per atom higher.

---

<1>
# Ta2NiB2, relaxed, DFT PBE
# spin magnetization	0.00	μB/cell
# V	113.14	Å³ per cell
# ρ	12.98	g cm⁻³
data_Ta2NiB2
_symmetry_space_group_name_H-M 'P 4/m b m'
_symmetry_Int_Tables_number 127
_symmetry_space_group_name_Hall '-P 4 2ab'
_cell_length_a 5.824
_cell_length_b 5.824
_cell_length_c 3.335
_cell_angle_alpha 90.00
_cell_angle_beta 90.00
_cell_angle_gamma 90.00
loop_
_atom_site_label
_atom_site_type_symbol
_atom_site_fract_x
_atom_site_fract_y
_atom_site_fract_z
Ta1 Ta 0.181 0.319 0.000
Ni1 Ni 0.000 0.000 0.500
B1 B 0.108 0.608 0.500

---

<2>
# Ta2NiB2, relaxed, DFT PBE
# spin magnetization	0.00	μB/cell
# V	111.99	Å³ per cell
# ρ	13.11	g cm⁻³
data_Ta2NiB2
_symmetry_space_group_name_H-M 'I m m m'
_symmetry_Int_Tables_number 71
_symmetry_space_group_name_Hall '-I 2 2'
_cell_length_a 3.270
_cell_length_b 4.688
_cell_length_c 7.306
_cell_angle_alpha 90.00
_cell_angle_beta 90.00
_cell_angle_gamma 90.00
loop_
_atom_site_label
_atom_site_type_symbol
_atom_site_fract_x
_atom_site_fract_y
_atom_site_fract_z
Ta1 Ta 0.000 0.000 0.206
Ni1 Ni 0.000 0.500 0.000
B1 B 0.000 0.303 0.500

---

<2> is preferred energetically. Next in line: 33 meV per atom higher.

---

<1>
# TaNiB2, relaxed, DFT PBE
# spin magnetization	0.00	μB/cell
# V	154.42	Å³ per cell
# ρ	11.24	g cm⁻³
data_TaNiB2
_symmetry_space_group_name_H-M 'P n m a'
_symmetry_Int_Tables_number 62
_cell_length_a 6.047
_cell_length_b 3.119
_cell_length_c 8.188
_cell_angle_alpha 90.00
_cell_angle_beta 90.00
_cell_angle_gamma 90.00
loop_
_symmetry_equiv_pos_as_xyz
'x,y,z'
'-x,-y,-z'
'-x+1/2,-y,z+1/2'
'x+1/2,y,-z+1/2'
'x+1/2,-y+1/2,-z+1/2'
'-x+1/2,y+1/2,z+1/2'
'-x,y+1/2,-z'
'x,-y+1/2,z'
loop_
_atom_site_label
_atom_site_type_symbol
_atom_site_fract_x
_atom_site_fract_y
_atom_site_fract_z
Ta1 Ta 0.132 0.250 0.133
Ni1 Ni 0.001 0.250 0.616
B1 B 0.172 0.250 0.833
B2 B 0.242 0.250 0.424

---

<2>
# TaNiB2, relaxed, DFT PBE
# spin magnetization	0.00	μB/cell
# V	178.27	Å³ per cell
# ρ	9.73	g cm⁻³
data_TaNiB2
_symmetry_space_group_name_H-M 'I -4 2 d'
_symmetry_Int_Tables_number 122
_symmetry_space_group_name_Hall 'I -4 2bw'
_cell_length_a 3.663
_cell_length_b 3.663
_cell_length_c 13.288
_cell_angle_alpha 90.00
_cell_angle_beta 90.00
_cell_angle_gamma 90.00
loop_
_atom_site_label
_atom_site_type_symbol
_atom_site_fract_x
_atom_site_fract_y
_atom_site_fract_z
Ta1 Ta 0.000 0.000 0.000
Ni1 Ni 0.000 0.000 0.500
B1 B 0.002 0.750 0.625

---

<1> is preferred energetically. Next in line: 750 meV per atom higher.